# 1
Below is a relaxed structure of ZrNbSn2, with properties calculated at the PBE level.

Results
Electronic total energy in eV per atom: -6.774
Distance to the lowest polymorph of the same formula in meV/atom: 6.3

Cell lengths 4.135, 4.542, 4.542 Å; angles 90.00, 90.00, 90.00 degrees
Element x y z (fractional)
Nb1 0.500 0.500 0.500
Sn1 0.000 0.000 0.500
Sn2 0.000 0.500 0.000
Zr1 0.500 0.000 0.000

***

# 2
Below is a relaxed structure of ZrNbSn2, with properties calculated at the PBE level.

Results
Electronic total energy in eV per atom: -6.568
Distance to the lowest polymorph of the same formula in meV/atom: 211.4

Cell lengths 7.759, 7.759, 6.291 Å; angles 51.93, 51.93, 90.00 degrees
Element x y z (fractional)
Sn1 0.375 0.365 0.750
Sn2 0.115 0.625 0.250
Sn3 0.635 0.125 0.250
Sn4 0.875 0.885 0.750
Zr1 0.500 0.500 0.000
Zr2 0.250 0.750 0.500
Nb1 0.000 0.000 0.000
Nb2 0.750 0.250 0.500

***

# 3
Below is a relaxed structure of ZrNbSn2, with properties calculated at the PBE level.

Results
Electronic total energy in eV per atom: -6.780
Distance to the lowest polymorph of the same formula in meV/atom: 0.0

Cell lengths 3.248, 3.248, 8.077 Å; angles 90.00, 90.00, 90.00 degrees
Element x y z (fractional)
Nb1 0.500 0.500 0.000
Sn1 0.000 0.000 0.761
Sn2 0.000 0.000 0.239
Zr1 0.500 0.500 0.500

***

# 4
Below is a relaxed structure of SrNb, with properties calculated at the PBE level.

Results
Electronic total energy in eV per atom: -4.924
Distance to the lowest polymorph of the same formula in meV/atom: 339.9

Cell lengths 12.206, 12.206, 3.319 Å; angles 90.00, 90.00, 120.00 degrees
Element x y z (fractional)
Sr1 0.341 0.297 0.250
Sr2 0.659 0.703 0.750
Sr3 0.044 0.341 0.750
Sr4 0.703 0.044 0.250
Sr5 0.297 0.956 0.750
Sr6 0.956 0.659 0.250
Nb1 0.652 0.445 0.250
Nb2 0.207 0.652 0.750
Nb3 0.555 0.207 0.250
Nb4 0.793 0.348 0.250
Nb5 0.348 0.555 0.750
Nb6 0.445 0.793 0.750

***

# 5
Below is a relaxed structure of SrNb, with properties calculated at the PBE level.

Results
Electronic total energy in eV per atom: -5.059
Distance to the lowest polymorph of the same formula in meV/atom: 204.6

Cell lengths 12.063, 12.063, 3.281 Å; angles 90.00, 90.00, 90.00 degrees
Element x y z (fractional)
Sr1 0.000 0.272 0.000
Sr2 0.728 0.000 0.000
Sr3 0.000 0.728 0.000
Sr4 0.275 0.725 0.500
Sr5 0.725 0.725 0.500
Sr6 0.725 0.275 0.500
Sr7 0.275 0.275 0.500
Sr8 0.272 0.000 0.000
Nb1 0.500 0.115 0.500
Nb2 0.334 0.500 0.000
Nb3 0.885 0.500 0.500
Nb4 0.500 0.666 0.000
Nb5 0.666 0.500 0.000
Nb6 0.500 0.885 0.500
Nb7 0.115 0.500 0.500
Nb8 0.500 0.334 0.000

***

# 6
Below is a relaxed structure of SrNb, with properties calculated at the PBE level.

Results
Electronic total energy in eV per atom: -5.160
Distance to the lowest polymorph of the same formula in meV/atom: 103.6

Cell lengths 4.379, 5.871, 15.991 Å; angles 90.00, 90.00, 90.00 degrees
Element x y z (fractional)
Nb1 0.500 0.000 0.413
Nb2 0.500 0.000 0.587
Nb3 0.000 0.000 0.500
Nb4 0.000 0.500 0.087
Nb5 0.000 0.500 0.913
Nb6 0.500 0.500 0.000
Sr1 0.000 0.500 0.684
Sr2 0.500 0.500 0.500
Sr3 0.500 0.000 0.184
Sr4 0.500 0.000 0.816
Sr5 0.000 0.500 0.316
Sr6 0.000 0.000 0.000

***

# 7
Below is a relaxed structure of SrNb, with properties calculated at the PBE level.

Results
Electronic total energy in eV per atom: -5.264
Distance to the lowest polymorph of the same formula in meV/atom: 0.0

Cell lengths 14.119, 3.603, 7.987 Å; angles 90.00, 90.00, 90.00 degrees
Element x y z (fractional)
Nb1 0.589 0.500 0.908
Nb2 0.000 0.500 0.604
Nb3 0.089 0.000 0.408
Nb4 0.911 0.000 0.408
Nb5 0.411 0.500 0.908
Nb6 0.500 0.000 0.104
Sr1 0.286 0.500 0.259
Sr2 0.500 0.000 0.564
Sr3 0.000 0.500 0.064
Sr4 0.214 0.000 0.759
Sr5 0.786 0.000 0.759
Sr6 0.714 0.500 0.259

***

# 8
Below is a relaxed structure of SrNb, with properties calculated at the PBE level.

Results
Electronic total energy in eV per atom: -5.241
Distance to the lowest polymorph of the same formula in meV/atom: 22.7

Cell lengths 10.445, 7.991, 6.239 Å; angles 90.00, 90.00, 90.00 degrees
Element x y z (fractional)
Sr1 0.322 0.853 0.250
Sr2 0.178 0.647 0.750
Sr3 0.678 0.853 0.250
Sr4 0.322 0.147 0.750
Sr5 0.678 0.147 0.750
Sr6 0.822 0.353 0.250
Sr7 0.178 0.353 0.250
Sr8 0.822 0.647 0.750
Nb1 0.500 0.260 0.250
Nb2 0.000 0.000 0.000
Nb3 0.000 0.000 0.500
Nb4 0.000 0.760 0.250
Nb5 0.500 0.740 0.750
Nb6 0.000 0.240 0.750
Nb7 0.500 0.500 0.000
Nb8 0.500 0.500 0.500

***

# 9
Below is a relaxed structure of SrNb, with properties calculated at the PBE level.

Results
Electronic total energy in eV per atom: -4.715
Distance to the lowest polymorph of the same formula in meV/atom: 548.5

Cell lengths 9.816, 9.816, 9.816 Å; angles 90.00, 90.00, 90.00 degrees
Element x y z (fractional)
Sr1 0.788 0.212 0.788
Sr2 0.712 0.712 0.712
Sr3 0.288 0.712 0.288
Sr4 0.788 0.788 0.212
Sr5 0.712 0.288 0.288
Sr6 0.212 0.788 0.788
Sr7 0.212 0.212 0.212
Sr8 0.288 0.288 0.712
Nb1 0.592 0.592 0.408
Nb2 0.592 0.408 0.592
Nb3 0.408 0.408 0.408
Nb4 0.092 0.092 0.908
Nb5 0.908 0.908 0.908
Nb6 0.408 0.592 0.592
Nb7 0.908 0.092 0.092
Nb8 0.092 0.908 0.092

***

# 10
Below is a relaxed structure of SrNb, with properties calculated at the PBE level.

Results
Electronic total energy in eV per atom: -3.367
Distance to the lowest polymorph of the same formula in meV/atom: 1897.0

Cell lengths 7.668, 7.668, 7.668 Å; angles 90.00, 90.00, 90.00 degrees
Element x y z (fractional)
Nb1 0.500 0.000 0.500
Nb2 0.000 0.000 0.000
Nb3 0.500 0.500 0.000
Nb4 0.000 0.500 0.500
Sr1 0.750 0.750 0.250
Sr2 0.250 0.250 0.250
Sr3 0.250 0.750 0.750
Sr4 0.750 0.250 0.750

***

# 11
Below is a relaxed structure of SrNb, with properties calculated at the PBE level.

Results
Electronic total energy in eV per atom: -3.605
Distance to the lowest polymorph of the same formula in meV/atom: 1658.6

Cell lengths 5.854, 5.854, 6.823 Å; angles 90.00, 90.00, 120.00 degrees
Element x y z (fractional)
Nb1 0.667 0.333 0.250
Nb2 0.333 0.667 0.750
Sr1 0.667 0.333 0.750
Sr2 0.333 0.667 0.250

***

# 12
Below is a relaxed structure of SrNb, with properties calculated at the PBE level.

Results
Electronic total energy in eV per atom: -4.796
Distance to the lowest polymorph of the same formula in meV/atom: 467.7

Cell lengths 14.244, 14.244, 3.327 Å; angles 90.00, 90.00, 90.00 degrees
Element x y z (fractional)
Sr1 0.303 0.040 0.500
Sr2 0.460 0.803 0.000
Sr3 0.697 0.960 0.500
Sr4 0.197 0.460 0.000
Sr5 0.540 0.197 0.000
Sr6 0.960 0.303 0.500
Sr7 0.040 0.697 0.500
Sr8 0.803 0.540 0.000
Nb1 0.317 0.253 0.000
Nb2 0.253 0.683 0.000
Nb3 0.817 0.753 0.500
Nb4 0.247 0.817 0.500
Nb5 0.183 0.247 0.500
Nb6 0.753 0.183 0.500
Nb7 0.683 0.747 0.000
Nb8 0.747 0.317 0.000

***

# 13
Below is a relaxed structure of SrNb, with properties calculated at the PBE level.

Results
Electronic total energy in eV per atom: -3.316
Distance to the lowest polymorph of the same formula in meV/atom: 1948.1

Cell lengths 9.505, 9.505, 9.505 Å; angles 90.00, 90.00, 90.00 degrees
Element x y z (fractional)
Nb1 0.500 0.000 0.750
Nb2 0.500 0.000 0.250
Nb3 0.000 0.750 0.500
Nb4 0.000 0.250 0.500
Nb5 0.250 0.500 0.000
Nb6 0.750 0.500 0.000
Sr1 0.250 0.000 0.500
Sr2 0.500 0.750 0.000
Sr3 0.750 0.000 0.500
Sr4 0.000 0.500 0.750
Sr5 0.000 0.500 0.250
Sr6 0.500 0.250 0.000

***

# 14
Below is a relaxed structure of SrNb, with properties calculated at the PBE level.

Results
Electronic total energy in eV per atom: -5.088
Distance to the lowest polymorph of the same formula in meV/atom: 175.9

Cell lengths 6.224, 15.975, 10.229 Å; angles 90.00, 90.00, 90.00 degrees
Element x y z (fractional)
Sr1 0.500 0.500 0.667
Sr2 0.000 0.000 0.667
Sr3 0.000 0.500 0.167
Sr4 0.000 0.500 0.833
Sr5 0.500 0.000 0.167
Sr6 0.500 0.000 0.833
Sr7 0.000 0.000 0.333
Sr8 0.500 0.500 0.333
Sr9 0.250 0.250 0.083
Sr10 0.250 0.750 0.917
Sr11 0.750 0.750 0.083
Sr12 0.750 0.250 0.583
Sr13 0.250 0.250 0.417
Sr14 0.250 0.750 0.583
Sr15 0.750 0.250 0.917
Sr16 0.750 0.750 0.417
Nb1 0.500 0.930 0.500
Nb2 0.000 0.430 0.500
Nb3 0.750 0.680 0.750
Nb4 0.750 0.820 0.750
Nb5 0.000 0.070 0.000
Nb6 0.750 0.180 0.250
Nb7 0.000 0.570 0.500
Nb8 0.000 0.930 0.000
Nb9 0.250 0.320 0.750
Nb10 0.500 0.570 0.000
Nb11 0.250 0.680 0.250
Nb12 0.500 0.070 0.500
Nb13 0.250 0.820 0.250
Nb14 0.750 0.320 0.250
Nb15 0.250 0.180 0.750
Nb16 0.500 0.430 0.000

***

# 15
Below is a relaxed structure of SrNb, with properties calculated at the PBE level.

Results
Electronic total energy in eV per atom: -3.946
Distance to the lowest polymorph of the same formula in meV/atom: 1317.5

Cell lengths 6.519, 6.519, 6.519 Å; angles 90.00, 90.00, 90.00 degrees
Element x y z (fractional)
Sr1 0.000 0.500 0.500
Sr2 0.500 0.500 0.000
Sr3 0.000 0.000 0.000
Sr4 0.500 0.000 0.500
Nb1 0.000 0.500 0.000
Nb2 0.000 0.000 0.500
Nb3 0.500 0.500 0.500
Nb4 0.500 0.000 0.000

***

# 16
Below is a relaxed structure of SrNb4, with properties calculated at the PBE level.

Results
Electronic total energy in eV per atom: -5.846

Cell lengths 4.823, 4.823, 4.823 Å; angles 90.00, 90.00, 90.00 degrees
Element x y z (fractional)
Nb1 0.500 0.500 0.000
Nb2 0.000 0.500 0.500
Nb3 0.500 0.000 0.500
Nb4 0.000 0.000 0.000
Sr1 0.500 0.500 0.500

***

# 17
Below is a relaxed structure of SrNb, with properties calculated at the PBE level.

Results
Electronic total energy in eV per atom: -4.645
Distance to the lowest polymorph of the same formula in meV/atom: 619.1

Cell lengths 6.701, 6.701, 6.666 Å; angles 90.00, 90.00, 90.00 degrees
Element x y z (fractional)
Sr1 0.173 0.827 0.000
Sr2 0.827 0.173 0.000
Sr3 0.327 0.327 0.500
Sr4 0.673 0.673 0.500
Nb1 0.615 0.615 0.000
Nb2 0.115 0.885 0.500
Nb3 0.885 0.115 0.500
Nb4 0.385 0.385 0.000

***

# 18
Below is a relaxed structure of Sr3TaNb, with properties calculated at the PBE level.

Results
Electronic total energy in eV per atom: -3.480
Distance to the lowest polymorph of the same formula in meV/atom: 168.0

Cell lengths 5.684, 5.684, 5.684 Å; angles 90.00, 90.00, 90.00 degrees
Element x y z (fractional)
Ta1 0.500 0.500 0.500
Sr1 0.000 0.000 0.500
Sr2 0.500 0.000 0.000
Sr3 0.000 0.500 0.000
Nb1 0.000 0.000 0.000

***

# 19
Below is a relaxed structure of SrTaNb2, with properties calculated at the PBE level.

Results
Electronic total energy in eV per atom: -7.075
Distance to the lowest polymorph of the same formula in meV/atom: 459.3

Cell lengths 4.879, 4.879, 10.172 Å; angles 76.12, 76.12, 90.00 degrees
Element x y z (fractional)
Sr1 0.500 0.500 0.000
Sr2 0.250 0.750 0.500
Nb1 0.375 0.206 0.750
Nb2 0.875 0.044 0.750
Nb3 0.794 0.125 0.250
Nb4 0.956 0.625 0.250
Ta1 0.750 0.250 0.500
Ta2 0.000 0.000 0.000

***

# 20
Below is a relaxed structure of Sr3TaNb, with properties calculated at the PBE level.

Results
Electronic total energy in eV per atom: -3.648
Distance to the lowest polymorph of the same formula in meV/atom: 0.0

Cell lengths 5.913, 5.913, 5.913 Å; angles 90.00, 90.00, 90.00 degrees
Element x y z (fractional)
Sr1 0.000 0.500 0.000
Sr2 0.500 0.000 0.000
Sr3 0.000 0.000 0.500
Nb1 0.500 0.500 0.500
Ta1 0.000 0.000 0.000

***

# 21
Below is a relaxed structure of SrTaNb2, with properties calculated at the PBE level.

Results
Electronic total energy in eV per atom: -7.534
Distance to the lowest polymorph of the same formula in meV/atom: 0.0

Cell lengths 4.943, 4.943, 4.943 Å; angles 60.00, 60.00, 60.00 degrees
Element x y z (fractional)
Ta1 0.500 0.500 0.500
Nb1 0.750 0.750 0.750
Nb2 0.250 0.250 0.250
Sr1 0.000 0.000 0.000

***

# 22
Below is a relaxed structure of SrZr2TaNb, with properties calculated at the PBE level.

Results
Electronic total energy in eV per atom: -6.645

Cell lengths 5.128, 5.769, 5.128 Å; angles 90.00, 90.00, 90.00 degrees
Element x y z (fractional)
Zr1 0.500 0.000 0.000
Zr2 0.000 0.000 0.500
Sr1 0.000 0.500 0.000
Nb1 0.500 0.500 0.500
Ta1 0.000 0.000 0.000